# Be2AlB2 | Alexandria | PBE | optimized geometry
data_Be2AlB2
_chemical_formula_sum 'Be4 Al2 B4'
_cell_length_a 5.4730
_cell_length_b 5.4730
_cell_length_c 3.0533
_cell_angle_alpha 90.00
_cell_angle_beta 90.00
_cell_angle_gamma 90.00
_space_group_name_H-M_alt 'P 4/m b m'
_space_group_IT_number 127
_space_group_name_Hall '-P 4 2ab'
loop_
_atom_site_label
_atom_site_type_symbol
_atom_site_fract_x
_atom_site_fract_y
_atom_site_fract_z
Be1 Be 0.1509 0.3491 0.0000
Al1 Al 0.0000 0.0000 0.5000
B1 B 0.1054 0.6054 0.5000
# Calculated volume: 9.1 Å³/atom
# Calculated total energy: -45.9 eV/cell
# Crystal system: tetragonal

=====

# BeAl2B | Alexandria | PBE | optimized geometry
data_BeAl2B
_chemical_formula_sum 'Be4 Al8 B4'
_cell_length_a 3.4510
_cell_length_b 5.7332
_cell_length_c 10.5495
_cell_angle_alpha 90.76
_cell_angle_beta 90.83
_cell_angle_gamma 93.75
_space_group_name_H-M_alt 'P 1'
_space_group_IT_number 1
loop_
_space_group_symop_operation_xyz
'x,y,z'
loop_
_atom_site_label
_atom_site_type_symbol
_atom_site_fract_x
_atom_site_fract_y
_atom_site_fract_z
Be1 Be 0.0000 0.0000 0.0000
Be2 Be 0.0179 0.1945 0.1732
Be3 Be 0.4878 0.4518 0.2123
Be4 Be 0.5109 0.1841 0.8763
Al1 Al 0.0099 0.7669 0.2031
Al2 Al 0.0796 0.4378 0.9982
Al3 Al 0.1570 0.4479 0.4463
Al4 Al 0.1587 0.7591 0.8257
Al5 Al 0.1639 0.0974 0.6355
Al6 Al 0.5367 0.0898 0.3220
Al7 Al 0.6365 0.4820 0.6776
Al8 Al 0.6472 0.8237 0.5120
B1 B 0.1412 0.7132 0.6198
B2 B 0.5077 0.7052 0.3229
B3 B 0.5929 0.5183 0.8802
B4 B 0.6654 0.2148 0.5195
# Calculated volume: 13.0 Å³/atom
# ΔE to the lowest computed polymorph: 144.9 meV/atom
# Calculated total energy: -67.7 eV/cell
# Crystal system: triclinic

=====

# BeAl2B | Alexandria | PBE | optimized geometry
data_BeAl2B
_chemical_formula_sum 'Be8 Al16 B8'
_cell_length_a 22.1504
_cell_length_b 3.4791
_cell_length_c 5.2456
_cell_angle_alpha 90.00
_cell_angle_beta 92.24
_cell_angle_gamma 90.00
_space_group_name_H-M_alt 'C 1 2/m 1'
_space_group_IT_number 12
loop_
_space_group_symop_operation_xyz
'x,y,z'
'-x,-y,-z'
'-x,y,-z'
'x,-y,z'
'x+1/2,y+1/2,z'
'-x+1/2,-y+1/2,-z'
'-x+1/2,y+1/2,-z'
'x+1/2,-y+1/2,z'
loop_
_atom_site_label
_atom_site_type_symbol
_atom_site_fract_x
_atom_site_fract_y
_atom_site_fract_z
Be1 Be 0.0181 0.0000 0.1816
Be2 Be 0.0422 0.5000 0.9115
Al1 Al 0.0749 0.0000 0.5767
Al2 Al 0.1174 0.0000 0.0609
Al3 Al 0.1973 0.5000 0.4985
Al4 Al 0.2065 0.5000 0.9962
B1 B 0.1234 0.5000 0.7681
B2 B 0.2120 0.0000 0.2460
# Calculated volume: 12.6 Å³/atom
# ΔE to the lowest computed polymorph: 5.6 meV/atom
# Calculated total energy: -139.8 eV/cell
# Crystal system: monoclinic

=====

# BeAlB2 | Alexandria | PBE | optimized geometry
data_BeAlB2
_chemical_formula_sum 'Be4 Al4 B8'
_cell_length_a 5.2174
_cell_length_b 5.2174
_cell_length_c 5.2174
_cell_angle_alpha 90.00
_cell_angle_beta 90.00
_cell_angle_gamma 90.00
_space_group_name_H-M_alt 'F m -3 m'
_space_group_IT_number 225
_space_group_name_Hall '-F 4 2 3'
loop_
_atom_site_label
_atom_site_type_symbol
_atom_site_fract_x
_atom_site_fract_y
_atom_site_fract_z
Be1 Be 0.0000 0.0000 0.0000
Al1 Al 0.0000 0.0000 0.5000
B1 B 0.2500 0.2500 0.2500
# Calculated volume: 8.9 Å³/atom
# ΔE to the lowest computed polymorph: 855.4 meV/atom
# Calculated total energy: -69.5 eV/cell
# Crystal system: cubic

=====

# BeAlB | Alexandria | PBE | optimized geometry
data_BeAlB
_chemical_formula_sum 'Be2 Al2 B2'
_cell_length_a 3.7603
_cell_length_b 2.9485
_cell_length_c 5.5305
_cell_angle_alpha 90.00
_cell_angle_beta 100.73
_cell_angle_gamma 90.00
_space_group_name_H-M_alt 'P 1 21/m 1'
_space_group_IT_number 11
loop_
_space_group_symop_operation_xyz
'x,y,z'
'-x,-y,-z'
'-x,y+1/2,-z'
'x,-y+1/2,z'
loop_
_atom_site_label
_atom_site_type_symbol
_atom_site_fract_x
_atom_site_fract_y
_atom_site_fract_z
Be1 Be 0.1555 0.2500 0.1527
Al1 Al 0.2910 0.2500 0.6311
B1 B 0.3767 0.7500 0.9649
# Calculated volume: 10.0 Å³/atom
# Calculated total energy: -27.8 eV/cell
# Crystal system: monoclinic

=====

# BeAl2B | Alexandria | PBE | optimized geometry
data_BeAl2B
_chemical_formula_sum 'Be4 Al8 B4'
_cell_length_a 5.3554
_cell_length_b 6.1562
_cell_length_c 6.8368
_cell_angle_alpha 99.28
_cell_angle_beta 95.01
_cell_angle_gamma 111.83
_space_group_name_H-M_alt 'P -1'
_space_group_IT_number 2
loop_
_space_group_symop_operation_xyz
'x,y,z'
'-x,-y,-z'
loop_
_atom_site_label
_atom_site_type_symbol
_atom_site_fract_x
_atom_site_fract_y
_atom_site_fract_z
Be1 Be 0.0427 0.1894 0.0387
Be2 Be 0.3816 0.1147 0.9906
Al1 Al 0.0277 0.9944 0.6927
Al2 Al 0.2300 0.6083 0.1476
Al3 Al 0.2469 0.4747 0.5343
Al4 Al 0.4955 0.0548 0.3159
B1 B 0.1559 0.7891 0.4410
B2 B 0.3615 0.3288 0.2442
# Calculated volume: 12.7 Å³/atom
# ΔE to the lowest computed polymorph: 66.1 meV/atom
# Calculated total energy: -68.9 eV/cell
# Crystal system: triclinic

=====

# BeAl2B | Alexandria | PBE | optimized geometry
data_BeAl2B
_chemical_formula_sum 'Be4 Al8 B4'
_cell_length_a 5.5406
_cell_length_b 3.4754
_cell_length_c 10.3292
_cell_angle_alpha 90.00
_cell_angle_beta 100.37
_cell_angle_gamma 90.00
_space_group_name_H-M_alt 'P 1 21/m 1'
_space_group_IT_number 11
loop_
_space_group_symop_operation_xyz
'x,y,z'
'-x,-y,-z'
'-x,y+1/2,-z'
'x,-y+1/2,z'
loop_
_atom_site_label
_atom_site_type_symbol
_atom_site_fract_x
_atom_site_fract_y
_atom_site_fract_z
Be1 Be 0.1432 0.2500 0.0368
Be2 Be 0.2206 0.7500 0.9257
Al1 Al 0.0074 0.7500 0.2035
Al2 Al 0.0265 0.7500 0.5942
Al3 Al 0.4605 0.2500 0.3883
Al4 Al 0.4943 0.2500 0.8632
B1 B 0.2202 0.7500 0.4150
B2 B 0.3127 0.7500 0.7597
# Calculated volume: 12.2 Å³/atom
# ΔE to the lowest computed polymorph: 31.1 meV/atom
# Calculated total energy: -69.5 eV/cell
# Crystal system: monoclinic

=====

# BeAlB2 | Alexandria | PBE | optimized geometry
data_BeAlB2
_chemical_formula_sum 'Be4 Al4 B8'
_cell_length_a 3.4899
_cell_length_b 3.4899
_cell_length_c 12.7656
_cell_angle_alpha 90.00
_cell_angle_beta 90.00
_cell_angle_gamma 90.00
_space_group_name_H-M_alt 'I -4 2 d'
_space_group_IT_number 122
_space_group_name_Hall 'I -4 2bw'
loop_
_atom_site_label
_atom_site_type_symbol
_atom_site_fract_x
_atom_site_fract_y
_atom_site_fract_z
Be1 Be 0.0000 0.0000 0.0000
Al1 Al 0.0000 0.0000 0.5000
B1 B 0.1018 0.2500 0.1250
# Calculated volume: 9.7 Å³/atom
# ΔE to the lowest computed polymorph: 333.6 meV/atom
# Calculated total energy: -77.8 eV/cell
# Crystal system: tetragonal

=====

# BeAlB | Alexandria | PBE | optimized geometry
data_BeAlB
_chemical_formula_sum 'Be4 Al4 B4'
_cell_length_a 4.7696
_cell_length_b 5.3693
_cell_length_c 5.3863
_cell_angle_alpha 79.82
_cell_angle_beta 64.81
_cell_angle_gamma 83.00
_space_group_name_H-M_alt 'P 1'
_space_group_IT_number 1
loop_
_space_group_symop_operation_xyz
'x,y,z'
loop_
_atom_site_label
_atom_site_type_symbol
_atom_site_fract_x
_atom_site_fract_y
_atom_site_fract_z
Be1 Be 0.0000 0.0000 0.0000
Be2 Be 0.0991 0.3219 0.1686
Be3 Be 0.2624 0.6670 0.8803
Be4 Be 0.6058 0.3992 0.5472
Al1 Al 0.0997 0.5644 0.5155
Al2 Al 0.4608 0.9277 0.1100
Al3 Al 0.6553 0.4128 0.0306
Al4 Al 0.6810 0.9433 0.5153
B1 B 0.1698 0.9189 0.6076
B2 B 0.3219 0.2054 0.4285
B3 B 0.8526 0.6586 0.2130
B4 B 0.9039 0.1743 0.6772
# Calculated volume: 10.2 Å³/atom
# Calculated total energy: -54.6 eV/cell
# Crystal system: triclinic

=====

# BeAl2B | Alexandria | PBE | optimized geometry
data_BeAl2B
_chemical_formula_sum 'Be4 Al8 B4'
_cell_length_a 7.8220
_cell_length_b 7.8220
_cell_length_c 3.5646
_cell_angle_alpha 90.00
_cell_angle_beta 90.00
_cell_angle_gamma 90.00
_space_group_name_H-M_alt 'I -4 2 d'
_space_group_IT_number 122
_space_group_name_Hall 'I -4 2bw'
loop_
_atom_site_label
_atom_site_type_symbol
_atom_site_fract_x
_atom_site_fract_y
_atom_site_fract_z
Be1 Be 0.0000 0.0000 0.0000
Al1 Al 0.1193 0.2500 0.6250
B1 B 0.0000 0.0000 0.5000
# Calculated volume: 13.6 Å³/atom
# ΔE to the lowest computed polymorph: 95.1 meV/atom
# Calculated total energy: -68.5 eV/cell
# Crystal system: tetragonal